Entry from Alexandria: a relaxed structure of CaLa2Mo (PBE).

The energy above the most stable polymorph in this dataset is 0 meV per atom.

The space group is P2/m (No. 10) and the conventional cell measures 3.6343, 3.6471 and 9.5327 Å, with angles of 90.00, 93.52 and 90.00 degrees. The inequivalent atoms are Ca at (0.0000, 0.0000, 0.0000), La at (0.4639, 0.5000, 0.6845) and Mo at (0.0000, 0.0000, 0.5000).

=====

Entry from Alexandria: a relaxed structure of CaLaMo2 (PBE).

The energy above the most stable polymorph in this dataset is 118 meV per atom.

The space group is Imm2 (No. 44) and the conventional cell measures 3.5277, 5.3086 and 10.6384 Å, with angles of 90.00, 90.00 and 90.00 degrees. The inequivalent atoms are Ca at (0.0000, 0.0000, 0.0000), La at (0.0000, 0.5000, 0.7819), Mo at (0.0000, 0.0000, 0.5625) and Mo at (0.0000, 0.5000, 0.2193).

=====

Entry from Alexandria: a relaxed structure of CaLaMo2 (PBE).

The energy above the most stable polymorph in this dataset is 715 meV per atom.

The space group is Fm-3m (No. 225) and the conventional cell measures 7.1918, 7.1918 and 7.1918 Å, with angles of 90.00, 90.00 and 90.00 degrees. The inequivalent atoms are Ca at (0.0000, 0.0000, 0.0000), La at (0.0000, 0.0000, 0.5000) and Mo at (0.2500, 0.2500, 0.2500).

=====

Entry from Alexandria: a relaxed structure of CaLaMo2 (PBE).

The energy above the most stable polymorph in this dataset is 471 meV per atom.

The space group is Pmmm (No. 47) and the conventional cell measures 2.8784, 5.0919 and 6.2804 Å, with angles of 90.00, 90.00 and 90.00 degrees. The inequivalent atoms are Ca at (0.0000, 0.0000, 0.0000), La at (0.0000, 0.0000, 0.5000) and Mo at (0.5000, 0.5000, 0.1978).

=====

Entry from Alexandria: a relaxed structure of CaLa2Mo (PBE).

The energy above the most stable polymorph in this dataset is 257 meV per atom.

The space group is P4/mmm (No. 123) and the conventional cell measures 5.1283, 5.1283 and 4.3860 Å, with angles of 90.00, 90.00 and 90.00 degrees. The inequivalent atoms are Ca at (0.0000, 0.0000, 0.0000), La at (0.0000, 0.5000, 0.5000) and Mo at (0.5000, 0.5000, 0.0000).

=====

Entry from Alexandria: a relaxed structure of CaLaMo2 (PBE).

The energy above the most stable polymorph in this dataset is 519 meV per atom.

The space group is P4/mmm (No. 123) and the conventional cell measures 2.8633, 2.8633 and 10.5719 Å, with angles of 90.00, 90.00 and 90.00 degrees. The inequivalent atoms are Ca at (0.0000, 0.0000, 0.0000), La at (0.0000, 0.0000, 0.5000) and Mo at (0.5000, 0.5000, 0.2458).

=====

Entry from Alexandria: a relaxed structure of CaLaMo2 (PBE).

The energy above the most stable polymorph in this dataset is 984 meV per atom.

The space group is I-42d (No. 122) and the conventional cell measures 8.0775, 8.0775 and 5.7190 Å, with angles of 90.00, 90.00 and 90.00 degrees. The inequivalent atoms are Ca at (0.0000, 0.0000, 0.0000), La at (0.0000, 0.0000, 0.5000) and Mo at (0.2491, 0.2500, 0.6250).

=====

Entry from Alexandria: a relaxed structure of CaLa2Mo (PBE).

The energy above the most stable polymorph in this dataset is 141 meV per atom.

The space group is Immm (No. 71) and the conventional cell measures 4.8490, 5.8758 and 8.0400 Å, with angles of 90.00, 90.00 and 90.00 degrees. The inequivalent atoms are Ca at (0.0000, 0.0000, 0.0000), La at (0.0000, 0.5000, 0.2188) and Mo at (0.0000, 0.0000, 0.5000).

=====

Entry from Alexandria: a relaxed structure of CaLa2Mo (PBE).

The energy above the most stable polymorph in this dataset is 257 meV per atom.

The space group is I-42d (No. 122) and the conventional cell measures 8.7642, 8.7642 and 6.8494 Å, with angles of 90.00, 90.00 and 90.00 degrees. The inequivalent atoms are Ca at (0.0000, 0.0000, 0.0000), La at (0.1506, 0.7500, 0.6250) and Mo at (0.0000, 0.0000, 0.5000).

=====

Entry from Alexandria: a relaxed structure of CaLaMo2 (PBE).

The energy above the most stable polymorph in this dataset is 708 meV per atom.

The space group is P4/mmm (No. 123) and the conventional cell measures 5.0434, 5.0434 and 3.6880 Å, with angles of 90.00, 90.00 and 90.00 degrees. The inequivalent atoms are Ca at (0.0000, 0.0000, 0.0000), La at (0.5000, 0.5000, 0.0000) and Mo at (0.0000, 0.5000, 0.5000).

=====

Entry from Alexandria: a relaxed structure of CaLa2Mo (PBE).

The energy above the most stable polymorph in this dataset is 364 meV per atom.

The space group is C2/m (No. 12) and the conventional cell measures 6.9204, 10.9431 and 3.2519 Å, with angles of 90.00, 116.48 and 90.00 degrees. The inequivalent atoms are Ca at (0.0000, 0.0000, 0.0000), La at (0.2500, 0.2500, 0.5000) and Mo at (0.0000, 0.5000, 0.0000).

=====

Entry from Alexandria: a relaxed structure of CaLaMo2 (PBE).

The energy above the most stable polymorph in this dataset is 699 meV per atom.

The space group is R-3m (No. 166, hexagonal axes) and the conventional cell measures 3.0573, 3.0573 and 32.2554 Å, with angles of 90.00, 90.00 and 120.00 degrees. The inequivalent atoms are Ca at (0.0000, 0.0000, 0.0000), La at (0.0000, 0.0000, 0.5000) and Mo at (0.0000, 0.0000, 0.2521).